No. 1
Material: LaYW2
Method: DFT, PBE-GGA
State: relaxed

## Properties
Final energy   -0.61431 Ry per atom
DOS at the Fermi energy   1.2798 states/eV per atom
Size of the total moment   0.00 μB per cell
SG   No. 123
Energy above the most stable polymorph in this dataset   676 meV/atom
Energy of formation from the pure elements   93.23 kJ per mole of atoms

The structure in POSCAR format:
```
LaYW2
1.0
3.572 0.000 0.000
0.000 3.572 0.000
0.000 0.000 7.060
La Y W
1 1 2
direct
0.000 0.000 0.000
0.000 0.000 0.500
0.500 0.500 0.215
0.500 0.500 0.785
```

---

No. 2
Material: VRu3Pt
Method: DFT, PBE-GGA
State: relaxed

## Properties
Final energy   -0.55618 Ry per atom
DOS at the Fermi energy   1.6906 states/eV per atom
Size of the total moment   2.39 μB per cell
SG   No. 166
Energy above the most stable polymorph in this dataset   0 meV/atom
Energy of formation from the pure elements   99.39 kJ per mole of atoms

The structure in POSCAR format:
```
VRu3Pt
1.0
5.132 0.000 0.000
-2.566 4.445 0.000
0.000 0.000 13.134
V Ru Pt
3 9 3
direct
0.000 0.000 0.000
0.333 0.667 0.667
0.667 0.333 0.333
0.000 0.500 0.000
0.167 0.333 0.333
0.167 0.833 0.333
0.333 0.167 0.667
0.500 0.000 0.000
0.500 0.500 0.000
0.667 0.833 0.333
0.833 0.167 0.667
0.833 0.667 0.667
0.000 0.000 0.500
0.333 0.667 0.167
0.667 0.333 0.833
```

---

No. 3
Material: NdInPb3
Method: DFT, PBE-GGA
State: relaxed

## Properties
Final energy   -0.28262 Ry per atom
DOS at the Fermi energy   0.5255 states/eV per atom
Size of the total moment   0.00 μB per cell
SG   No. 59
Energy above the most stable polymorph in this dataset   102 meV/atom
Energy of formation from the pure elements   -11.47 kJ per mole of atoms

The structure in POSCAR format:
```
NdInPb3
1.0
4.907 0.000 0.000
0.000 6.669 0.000
0.000 0.000 10.049
Nd In Pb
2 2 6
direct
0.250 0.250 0.094
0.750 0.750 0.906
0.250 0.750 0.442
0.750 0.250 0.558
0.250 0.001 0.726
0.250 0.499 0.726
0.250 0.750 0.112
0.750 0.250 0.888
0.750 0.501 0.274
0.750 0.999 0.274
```

---

No. 4
Material: InOsPd2
Method: DFT, PBE-GGA
State: relaxed

## Properties
Final energy   -0.40902 Ry per atom
DOS at the Fermi energy   1.2807 states/eV per atom
Size of the total moment   3.61 μB per cell
SG   No. 122
Energy of formation from the pure elements   50.51 kJ per mole of atoms

The structure in POSCAR format:
```
InOsPd2
1.0
3.915 0.000 0.000
0.000 3.915 0.000
0.000 0.000 18.612
In Os Pd
4 4 8
direct
0.000 0.000 0.000
0.000 0.500 0.250
0.500 0.000 0.750
0.500 0.500 0.500
0.000 0.000 0.500
0.000 0.500 0.750
0.500 0.000 0.250
0.500 0.500 0.000
0.237 0.250 0.625
0.250 0.737 0.875
0.250 0.763 0.375
0.263 0.250 0.125
0.737 0.750 0.125
0.750 0.237 0.375
0.750 0.263 0.875
0.763 0.750 0.625
```

---

No. 5
Material: La4InTe2Br
Method: DFT, PBE-GGA
State: relaxed

## Properties
Final energy   -0.36973 Ry per atom
Uncorrected formation energy   -1.230 eV per atom
DOS at the Fermi energy   0.7624 states/eV per atom
Size of the total moment   0.00 μB per cell
SG   No. 10

The structure in POSCAR format:
```
La4InTe2Br
1.0
7.830 0.000 0.000
0.000 4.544 0.000
-2.621 0.000 7.518
La In Te Br
4 1 2 1
direct
0.246 0.000 0.251
0.249 0.500 0.747
0.751 0.500 0.253
0.754 0.000 0.749
0.000 0.000 0.500
0.000 0.500 0.000
0.500 0.000 0.000
0.500 0.500 0.500
```

---

No. 6
Material: TbEr3Al8
Method: DFT, PBE-GGA
State: relaxed

## Properties
Final energy   -0.33321 Ry per atom
DOS at the Fermi energy   0.8380 states/eV per atom
Size of the total moment   0.00 μB per cell
SG   No. 160
Energy above the most stable polymorph in this dataset   0 meV/atom
Energy of formation from the pure elements   -49.39 kJ per mole of atoms

The structure in POSCAR format:
```
TbEr3Al8
1.0
2.766 1.597 9.079
-2.766 1.597 9.079
0.000 -3.194 9.079
Tb Er Al
1 3 8
direct
0.000 0.000 0.000
0.125 0.125 0.125
0.500 0.500 0.500
0.624 0.624 0.624
0.062 0.062 0.562
0.062 0.562 0.062
0.063 0.563 0.563
0.312 0.312 0.312
0.562 0.062 0.062
0.563 0.063 0.563
0.563 0.563 0.063
0.812 0.812 0.812
```